Compound: TiNiI2O
Source: Alexandria
Functional: PBE with a Hubbard U
Structure: optimized geometry

Lattice parameters (Å, degrees): 5.625 5.625 3.740 90.00 90.00 90.00
Element x y z (fractional)
Ti  0.000  0.000  0.000
Ni  0.500  0.500  0.500
I  0.000  0.500  0.000
I  0.500  0.000  0.000
O  0.000  0.000  0.500

Results
- Energy above the most stable polymorph in this dataset: 0.000 eV/atom
- Mass density: 5.3 Mg/m³
- Calculated total energy: -4.33 eV/atom

---

Compound: TlNi2IO6
Source: Alexandria
Functional: PBE with a Hubbard U
Structure: optimized geometry

Lattice parameters (Å, degrees): 5.709 5.709 5.709 57.25 57.25 57.25
Element x y z (fractional)
Tl  0.000  0.000  0.000
Ni  0.210  0.210  0.210
Ni  0.722  0.722  0.722
I  0.513  0.513  0.513
O  0.097  0.435  0.826
O  0.348  0.908  0.576
O  0.435  0.826  0.097
O  0.576  0.348  0.908
O  0.826  0.097  0.435
O  0.908  0.576  0.348

Results
- Mass density: 7.3 Mg/m³
- Calculated total energy: -4.53 eV/atom

---

Compound: TlNiIO2
Source: Alexandria
Functional: PBE with a Hubbard U
Structure: optimized geometry

Lattice parameters (Å, degrees): 4.256 4.256 5.556 90.00 90.00 90.00
Element x y z (fractional)
Tl  0.000  0.000  0.000
Ni  0.500  0.500  0.500
I  0.500  0.500  0.000
O  0.000  0.500  0.500
O  0.500  0.000  0.500

Results
- Energy above the most stable polymorph in this dataset: 0.000 eV/atom
- Mass density: 7.0 Mg/m³
- Calculated total energy: -3.17 eV/atom